Here is an optimized crystal structure of Sm2CdPd2 from the Alexandria database. Energies are from PBE-GGA.

The structure in extended XYZ format:
```
10
Lattice="7.733 0.000 0.000 0.000 7.733 0.000 0.000 0.000 3.900" Properties=species:S:1:pos:R:3 pbc="T T T"
Sm 1.342 2.524 0.000
Sm 2.524 6.390 0.000
Sm 5.209 1.342 0.000
Sm 6.390 5.209 0.000
Cd 0.000 0.000 1.950
Cd 3.866 3.866 1.950
Pd 0.989 4.855 1.950
Pd 2.878 0.989 1.950
Pd 4.855 6.744 1.950
Pd 6.744 2.878 1.950
```

For the energy of formation, the calculation gives -73 kJ/mol of atoms. The calculation puts the density of states at the Fermi level at 7.57 states/eV per cell. The crystal system is tetragonal.